1.
Compound: ReSi3Bi
Source: Alexandria
Functional: PBE
Structure: optimized geometry

The structure in extended XYZ format:
```
5
Lattice="4.774 0.000 0.000 0.000 4.774 0.000 0.000 0.000 4.774" Properties=species:S:1:pos:R:3 pbc="T T T"
Re 0.000 0.000 0.000
Si 0.000 0.000 2.387
Si 0.000 2.387 0.000
Si 2.387 0.000 0.000
Bi 2.387 2.387 2.387
```

## Properties
- formation energy (no corrections) (eV/atom) = 0.571
- magnetic moment (Bohr magnetons per cell) = 0.92
- ΔE to the lowest computed polymorph (eV/atom) = 0.000


2.
Compound: Re2SiBi
Source: Alexandria
Functional: PBE
Structure: optimized geometry

The structure in extended XYZ format:
```
8
Lattice="-2.131 2.131 8.818 2.131 -2.131 8.818 2.131 2.131 -8.818" Properties=species:S:1:pos:R:3 pbc="T T T"
Re 3.197 0.655 -2.205
Re 0.655 1.066 2.205
Re -1.066 1.477 6.614
Re 1.477 1.066 11.023
Si 0.000 0.000 0.000
Si 0.000 2.131 4.409
Bi 2.131 0.000 4.409
Bi 0.000 0.000 8.818
```

## Properties
- formation energy (no corrections) (eV/atom) = 0.812
- magnetic moment (Bohr magnetons per cell) = 0.00
- ΔE to the lowest computed polymorph (eV/atom) = 0.065


3.
Compound: TiRe2SiBi
Source: Alexandria
Functional: PBE
Structure: optimized geometry

The structure in extended XYZ format:
```
5
Lattice="5.006 0.000 0.000 0.000 5.006 0.000 0.000 0.000 5.030" Properties=species:S:1:pos:R:3 pbc="T T T"
Ti 0.000 0.000 0.000
Re 0.000 2.503 2.515
Re 2.503 0.000 2.515
Si 2.503 2.503 0.000
Bi 0.000 0.000 2.515
```

## Properties
- formation energy (no corrections) (eV/atom) = 2.620
- magnetic moment (Bohr magnetons per cell) = 1.07


4.
Compound: TlReSi2Bi
Source: Alexandria
Functional: PBE
Structure: optimized geometry

The structure in extended XYZ format:
```
5
Lattice="5.094 0.000 0.000 0.000 5.094 0.000 0.000 0.000 5.294" Properties=species:S:1:pos:R:3 pbc="T T T"
Tl 0.000 0.000 0.000
Re 0.000 0.000 2.647
Si 0.000 2.547 0.000
Si 2.547 0.000 0.000
Bi 2.547 2.547 2.647
```

## Properties
- formation energy (no corrections) (eV/atom) = 1.944
- magnetic moment (Bohr magnetons per cell) = 2.87


5.
Compound: ReSn2Bi
Source: Alexandria
Functional: PBE
Structure: optimized geometry

The structure in extended XYZ format:
```
8
Lattice="-3.160 3.160 6.787 3.160 -3.160 6.787 3.160 3.160 -6.787" Properties=species:S:1:pos:R:3 pbc="T T T"
Re 0.000 0.000 0.000
Re 0.000 3.160 3.393
Sn 4.740 1.186 -1.697
Sn 1.186 1.580 1.697
Sn -1.580 1.974 5.090
Sn 1.974 1.580 8.484
Bi 3.160 0.000 3.393
Bi 0.000 0.000 6.787
```

## Properties
- formation energy from the elements (eV per atom) = 0.90
- magnetic moment (Bohr magnetons per cell) = 0.00


6.
Compound: ReSn2Bi
Source: Alexandria
Functional: PBE
Structure: optimized geometry

The structure in extended XYZ format:
```
4
Lattice="1.539 0.888 12.292 -1.539 0.888 12.292 0.000 -1.777 12.292" Properties=species:S:1:pos:R:3 pbc="T T T"
Re 0.000 0.000 0.000
Sn 0.000 0.000 2.769
Sn 0.000 0.000 34.108
Bi 0.000 0.000 18.439
```

## Properties
- formation energy from the elements (eV per atom) = 0.88
- magnetic moment (Bohr magnetons per cell) = 0.00


7.
Compound: Re3SnBi
Source: Alexandria
Functional: PBE
Structure: optimized geometry

The structure in extended XYZ format:
```
5
Lattice="4.919 0.000 0.000 0.000 4.919 0.000 0.000 0.000 4.919" Properties=species:S:1:pos:R:3 pbc="T T T"
Re 0.000 0.000 2.460
Re 0.000 2.460 0.000
Re 2.460 0.000 0.000
Sn 0.000 0.000 0.000
Bi 2.460 2.460 2.460
```

## Properties
- formation energy from the elements (eV per atom) = 2.53
- magnetic moment (Bohr magnetons per cell) = 3.20
- ΔE to the lowest computed polymorph (eV/atom) = 0.000


8.
Compound: Re2SnBi
Source: Alexandria
Functional: PBE
Structure: optimized geometry

The structure in extended XYZ format:
```
4
Lattice="0.000 3.334 3.334 3.334 0.000 3.334 3.334 3.334 0.000" Properties=species:S:1:pos:R:3 pbc="T T T"
Re 1.667 1.667 1.667
Re 5.001 5.001 5.001
Sn 0.000 0.000 0.000
Bi 3.334 3.334 3.334
```

## Properties
- formation energy from the elements (eV per atom) = 0.90
- magnetic moment (Bohr magnetons per cell) = 0.00
- ΔE to the lowest computed polymorph (eV/atom) = 0.000